[1]
# Ac2TlRhAu

An optimized crystal structure of Ac2TlRhAu (PBE, Alexandria).

E_tot: -4.891 eV/atom
Energy of formation: -3.24 eV/f.u.

Lattice parameters (Å, degrees): 8.336 4.368 8.632 90.00 113.57 90.00
Space group P2_1/m (No. 11)
Symmetry-distinct sites (fractional):
1 Ac 0.027 0.250 0.224
2 Ac 0.360 0.750 0.622
3 Tl 0.341 0.250 0.956
4 Rh 0.105 0.250 0.612
5 Au 0.311 0.750 0.217

***

[2]
# Li6MgIn

An optimized crystal structure of Li6MgIn (PBE, Alexandria).

E_tot: -2.104 eV/atom
Excess energy over the best structure of this formula in the dataset: 12 meV per atom
Energy of formation: -1.02 eV/f.u.

Lattice parameters (Å, degrees): 4.878 5.884 5.350 90.00 90.00 90.00
Space group Pmm2 (No. 25)
Symmetry-distinct sites (fractional):
1 Li 0.000 0.000 0.000
2 Li 0.000 0.243 0.480
3 Li 0.500 0.237 0.792
4 Li 0.500 0.500 0.305
5 Mg 0.000 0.500 0.977
6 In 0.500 0.000 0.294

***

[3]
# LaSm5Th2

An optimized crystal structure of LaSm5Th2 (PBE, Alexandria).

E_tot: -5.320 eV/atom
Energy of formation: 0.80 eV/f.u.

Lattice parameters (Å, degrees): 3.577 11.394 13.496 90.00 90.00 90.00
Space group Immm (No. 71)
Symmetry-distinct sites (fractional):
1 La 0.000 0.000 0.000
2 Sm 0.000 0.229 0.368
3 Sm 0.000 0.500 0.000
4 Th 0.000 0.500 0.262

***

[4]
# CaBeRh

An optimized crystal structure of CaBeRh (PBE, Alexandria).

E_tot: -4.714 eV/atom
Excess energy over the best structure of this formula in the dataset: 111 meV per atom
Energy of formation: -1.06 eV/f.u.

Lattice parameters (Å, degrees): 3.8559 3.8559 4.2629 90.00 90.00 120.00
Space group P-6m2 (No. 187)
Symmetry-distinct sites (fractional):
1 Ca 0.0000 0.0000 0.0000
2 Be 0.3333 0.6667 0.5000
3 Rh 0.6667 0.3333 0.5000

***

| no. | size of the total moment (μB/f.u.) |
| --- | --- |
| 1 | 0.00 |
| 2 | 0.00 |
| 3 | 0.00 |
| 4 | 0.00 |